## EuCd2Ge (PBE)

Data for crystalline EuCd2Ge at its relaxed geometry.

Structure (POSCAR):
```
EuCd2Ge
1.0
4.966 0.000 0.000
0.000 4.410 0.000
0.000 0.000 4.410
Cd Ge Eu
2 1 1
Cartesian
0.000 2.205 0.000
0.000 0.000 2.205
2.483 2.205 2.205
2.483 0.000 0.000
```

Calculated values
Volume: 24.14 Å³ per atom
Energy relative to the lowest polymorph listed for this composition: 0.0 meV/atom
DOS(E_F): 8.5 states/eV/f.u.
Formation energy from the elements: -0.2910 eV/atom